(1)
First-principles (PBE) data for a relaxed SrMgAlPd2 crystal, as listed in the Alexandria database.

Cell: 6.548 6.548 6.548 Å, 141.72 141.72 55.26°
Element x y z (fractional)
Sr 0.000 0.000 0.000
Mg 0.250 0.750 0.500
Al 0.750 0.250 0.500
Pd 0.379 0.379 0.000
Pd 0.621 0.621 0.000

Summary:
SG: I-4m2

***

(2)
First-principles (PBE) data for a relaxed SrMg2AlPd crystal, as listed in the Alexandria database.

Cell: 5.083 5.083 4.893 Å, 90.00 90.00 90.00°
Element x y z (fractional)
Sr 0.000 0.000 0.000
Mg 0.000 0.500 0.500
Mg 0.500 0.000 0.500
Al 0.500 0.500 0.000
Pd 0.500 0.500 0.500

Summary:
SG: P4/mmm

***

(3)
First-principles (PBE) data for a relaxed TbMgAl2Pd4 crystal, as listed in the Alexandria database.

Cell: 8.653 8.653 8.653 Å, 29.34 29.34 29.34°
Element x y z (fractional)
Tb 0.000 0.000 0.000
Mg 0.500 0.500 0.500
Al 0.240 0.240 0.240
Al 0.760 0.760 0.760
Pd 0.128 0.128 0.128
Pd 0.396 0.396 0.396
Pd 0.604 0.604 0.604
Pd 0.872 0.872 0.872

Summary:
SG: R-3m

***

Computed formation energy from the elements (eV per atom) in order:
-0.6601, -0.3316, -0.8307
Computed raw total energy (eV per atom) in order:
-4.14, -3.09, -5.14
Computed total magnetic moment (μB per cell) in order:
0.0, 0.0, 0.0